The following is a PBE calculation of an optimized crystal structure of InSbCl2, from the Alexandria database.

Cell: 3.519 3.519 9.654 Å, 90.00 90.00 120.47°
Fractional positions:
Sb: 0.500 0.500 0.750
In: 0.500 0.500 0.250
Cl: 0.000 0.000 0.513
Cl: 0.000 0.000 0.987

Properties
- Uncorrected formation energy: -395 meV per atom
- SG: No. 65
- Spin magnetization: 0.0000 μB per atom
- ΔE to the lowest computed polymorph: 0.422 eV/f.u.